Density functional theory data (PBE-GGA) for a relaxed structure of TmHfCu.

The volume is 270.0 Å³/cell. The calculation puts the total energy at -5.777 eV/atom.

The structure belongs to space group F-43m (No. 216); the cell edges are 6.463, 6.463 and 6.463 Å and the angles 90.00°, 90.00° and 90.00°. The asymmetric unit holds Tm at (0.000, 0.000, 0.000), Hf at (0.000, 0.000, 0.500) and Cu at (0.250, 0.250, 0.750).

***

Density functional theory data (PBE-GGA) for a relaxed structure of TmHfCu4.

The volume is 96.1 Å³/cell. The calculation puts the total energy at -5.059 eV/atom.

The structure belongs to space group P4/mmm (No. 123); the cell edges are 3.354, 3.354 and 8.542 Å and the angles 90.00°, 90.00° and 90.00°. The asymmetric unit holds Tm at (0.000, 0.000, 0.000), Hf at (0.500, 0.500, 0.500), Cu at (0.000, 0.000, 0.333) and Cu at (0.500, 0.500, 0.187).

***

Density functional theory data (PBE-GGA) for a relaxed structure of HfUCu.

The volume is 257.1 Å³/cell. The calculation puts the total energy at -7.615 eV/atom.

The structure belongs to space group F-43m (No. 216); the cell edges are 6.359, 6.359 and 6.359 Å and the angles 90.00°, 90.00° and 90.00°. The asymmetric unit holds Hf at (0.000, 0.000, 0.000), U at (0.000, 0.000, 0.500) and Cu at (0.250, 0.250, 0.250).

***

Density functional theory data (PBE-GGA) for a relaxed structure of HfUCu.

The volume is 270.8 Å³/cell. The calculation puts the total energy at -7.097 eV/atom.

The structure belongs to space group F-43m (No. 216); the cell edges are 6.470, 6.470 and 6.470 Å and the angles 90.00°, 90.00° and 90.00°. The asymmetric unit holds Hf at (0.000, 0.000, 0.000), U at (0.250, 0.250, 0.750) and Cu at (0.000, 0.000, 0.500).

***

Density functional theory data (PBE-GGA) for a relaxed structure of HfCuW2.

The volume is 261.6 Å³/cell. The calculation puts the total energy at -9.731 eV/atom.

The structure belongs to space group F-43m (No. 216); the cell edges are 6.396, 6.396 and 6.396 Å and the angles 90.00°, 90.00° and 90.00°. The asymmetric unit holds Hf at (0.000, 0.000, 0.000), Cu at (0.250, 0.250, 0.250), W at (0.000, 0.000, 0.500) and W at (0.250, 0.250, 0.750).

***

Density functional theory data (PBE-GGA) for a relaxed structure of HfZnCuW.

The volume is 260.8 Å³/cell. The calculation puts the total energy at -6.540 eV/atom.

The structure belongs to space group F-43m (No. 216); the cell edges are 6.389, 6.389 and 6.389 Å and the angles 90.00°, 90.00° and 90.00°. The asymmetric unit holds Hf at (0.000, 0.000, 0.000), Zn at (0.000, 0.000, 0.500), Cu at (0.250, 0.250, 0.750) and W at (0.250, 0.250, 0.250).

***

Density functional theory data (PBE-GGA) for a relaxed structure of YHfCu6.

The volume is 122.4 Å³/cell. The calculation puts the total energy at -4.985 eV/atom.

The structure belongs to space group Pmm2 (No. 25); the cell edges are 4.423, 5.815 and 4.758 Å and the angles 90.00°, 90.00° and 90.00°. The asymmetric unit holds Y at (0.000, 0.000, 0.000), Hf at (0.500, 0.500, 0.300), Cu at (0.000, 0.277, 0.495), Cu at (0.000, 0.500, 0.968), Cu at (0.500, 0.000, 0.402) and Cu at (0.500, 0.281, 0.800).

***

Density functional theory data (PBE-GGA) for a relaxed structure of YHfCu.

The volume is 284.5 Å³/cell. The calculation puts the total energy at -5.561 eV/atom.

The structure belongs to space group F-43m (No. 216); the cell edges are 6.577, 6.577 and 6.577 Å and the angles 90.00°, 90.00° and 90.00°. The asymmetric unit holds Y at (0.000, 0.000, 0.000), Hf at (0.250, 0.250, 0.250) and Cu at (0.250, 0.250, 0.750).

***

Density functional theory data (PBE-GGA) for a relaxed structure of YHfCu4.

The volume is 97.7 Å³/cell. The calculation puts the total energy at -5.360 eV/atom.

The structure belongs to space group P4/mmm (No. 123); the cell edges are 3.363, 3.363 and 8.634 Å and the angles 90.00°, 90.00° and 90.00°. The asymmetric unit holds Y at (0.000, 0.000, 0.000), Hf at (0.500, 0.500, 0.500), Cu at (0.000, 0.000, 0.336) and Cu at (0.500, 0.500, 0.194).

***

Density functional theory data (PBE-GGA) for a relaxed structure of YHfCu2.

The volume is 290.3 Å³/cell. The calculation puts the total energy at -5.635 eV/atom.

The structure belongs to space group F-43m (No. 216); the cell edges are 6.621, 6.621 and 6.621 Å and the angles 90.00°, 90.00° and 90.00°. The asymmetric unit holds Y at (0.000, 0.000, 0.000), Hf at (0.250, 0.250, 0.250), Cu at (0.000, 0.000, 0.500) and Cu at (0.250, 0.250, 0.750).

***

Density functional theory data (PBE-GGA) for a relaxed structure of HfZnCu2.

The volume is 121.3 Å³/cell. The calculation puts the total energy at -4.727 eV/atom.

The structure belongs to space group P6_3/mmc (No. 194); the cell edges are 4.4071, 4.4071 and 7.2096 Å and the angles 90.00°, 90.00° and 120.00°. The asymmetric unit holds Hf at (0.0000, 0.0000, 0.0000), Zn at (0.3333, 0.6667, 0.2500) and Cu at (0.3333, 0.6667, 0.5908).

***

Density functional theory data (PBE-GGA) for a relaxed structure of HfZnCu2.

The volume is 120.2 Å³/cell. The calculation puts the total energy at -4.841 eV/atom.

The structure belongs to space group P6_3/mmc (No. 194); the cell edges are 4.1960, 4.1960 and 7.8805 Å and the angles 90.00°, 90.00° and 120.00°. The asymmetric unit holds Hf at (0.3333, 0.6667, 0.2500), Zn at (0.0000, 0.0000, 0.0000) and Cu at (0.3333, 0.6667, 0.5884).